Entry 1:
## TlSnPtO6 (GGA-PBE)

Data for an optimized crystal structure of TlSnPtO6.

It has space group P-31c (No. 163), with a = 5.4135 Å, b = 5.4135 Å, c = 9.3688 Å, α = 90.00°, β = 90.00° and γ = 120.00°. The distinct sites, in fractional coordinates, are Tl at (0.0000, 0.0000, 0.0000), Sn at (0.3333, 0.6667, 0.2500), Pt at (0.3333, 0.6667, 0.7500) and O at (0.0130, 0.3687, 0.6333).

For the formation energy without anion corrections, the calculation gives -80 kJ/mol of atoms.

***

Entry 2:
## Pa3Si4Pt2 (GGA-PBE)

Data for an optimized crystal structure of Pa3Si4Pt2.

It has space group Immm (No. 71), with a = 3.874 Å, b = 8.147 Å, c = 12.069 Å, α = 90.00°, β = 90.00° and γ = 90.00°. The distinct sites, in fractional coordinates, are Pa at (0.000, 0.000, 0.000), Pa at (0.000, 0.500, 0.119), Si at (0.000, 0.283, 0.304) and Pt at (0.000, 0.239, 0.500).

For the formation energy without anion corrections, the calculation gives -43 kJ/mol of atoms. As for the energy above the most stable polymorph in this dataset: 3.79 eV per formula unit.

***

Entry 3:
## Ba2LaMnAu (GGA-PBE)

Data for an optimized crystal structure of Ba2LaMnAu.

It has space group P4/mmm (No. 123), with a = 6.295 Å, b = 6.295 Å, c = 5.741 Å, α = 90.00°, β = 90.00° and γ = 90.00°. The distinct sites, in fractional coordinates, are Ba at (0.000, 0.500, 0.000), La at (0.000, 0.000, 0.500), Mn at (0.500, 0.500, 0.500) and Au at (0.000, 0.000, 0.000).

The formation energy from the elements is 0.760 eV per atom.